(1)
! PBE-GGA MgGaTeI2, optimized geometry; values from VASP
&SYSTEM
  ibrav = 0, nat = 5, ntyp = 4
/
ATOMIC_SPECIES
Mg 24.30 Mg.upf
Ga 69.72 Ga.upf
Te 127.60 Te.upf
I 126.90 I.upf
CELL_PARAMETERS angstrom
5.548 0.000 0.000
0.000 5.548 0.000
0.000 0.000 5.619
ATOMIC_POSITIONS angstrom
Mg 0.000 0.000 0.000
Ga 2.774 2.774 2.810
Te 2.774 2.774 0.000
I 0.000 2.774 2.810
I 2.774 0.000 2.810
! Energy relative to the elements, uncorrected   -0.100 eV per formula unit
! Crystal system   tetragonal

(2)
! PBE-GGA Tm6MgZn5, optimized geometry; values from VASP
&SYSTEM
  ibrav = 0, nat = 12, ntyp = 3
/
ATOMIC_SPECIES
Tm 168.93 Tm.upf
Mg 24.30 Mg.upf
Zn 65.41 Zn.upf
CELL_PARAMETERS angstrom
2.507 -7.559 0.000
2.507 7.559 0.000
0.000 0.000 7.112
ATOMIC_POSITIONS angstrom
Tm 0.000 0.000 1.700
Tm 0.000 0.000 5.411
Tm 2.507 2.588 1.760
Tm 2.507 2.588 5.352
Tm 2.507 -2.588 1.760
Tm 2.507 -2.588 5.352
Mg 2.507 0.000 3.556
Zn 2.507 5.181 3.556
Zn 2.507 5.066 0.000
Zn 2.507 0.000 0.000
Zn 2.507 -5.066 0.000
Zn 2.507 -5.181 3.556
! ΔH_f (0 K)   -3.5 eV per formula unit
! Crystal system   orthorhombic

(3)
! PBE-GGA La2Pr2Cd, optimized geometry; values from VASP
&SYSTEM
  ibrav = 0, nat = 10, ntyp = 3
/
ATOMIC_SPECIES
La 138.91 La.upf
Pr 140.91 Pr.upf
Cd 112.41 Cd.upf
CELL_PARAMETERS angstrom
4.433 -4.769 0.000
4.433 4.769 0.000
-3.663 0.000 7.915
ATOMIC_POSITIONS angstrom
La 0.821 2.970 6.219
La 4.382 2.970 1.697
La 0.821 -2.970 6.219
La 4.382 -2.970 1.697
Pr -0.369 0.000 4.876
Pr 2.784 0.000 0.579
Pr 2.419 0.000 7.336
Pr 5.572 0.000 3.040
Cd 2.601 1.488 3.958
Cd 2.601 -1.488 3.958
! ΔH_f (0 K)   -0.3 eV per formula unit
! Crystal system   monoclinic

(4)
! PBE-GGA Pm6SmHo8, optimized geometry; values from VASP
&SYSTEM
  ibrav = 0, nat = 15, ntyp = 3
/
ATOMIC_SPECIES
Pm 145.00 Pm.upf
Sm 150.36 Sm.upf
Ho 164.93 Ho.upf
CELL_PARAMETERS angstrom
4.544 2.624 6.927
-4.544 2.624 6.927
0.000 -5.247 6.927
ATOMIC_POSITIONS angstrom
Pm -3.136 -1.164 9.497
Pm -0.560 -3.298 11.284
Pm -2.576 2.134 11.284
Pm 2.576 -2.134 9.497
Pm 0.560 3.298 9.497
Pm 3.136 1.164 11.284
Sm 0.000 0.000 10.391
Ho 0.000 0.000 1.591
Ho -0.130 -1.991 7.456
Ho -1.659 1.109 7.456
Ho -1.790 -0.883 13.326
Ho 1.790 0.883 7.456
Ho 1.659 -1.109 13.326
Ho 0.130 1.991 13.326
Ho 0.000 0.000 19.191
! ΔH_f (0 K)   1.9 eV per formula unit
! Crystal system   trigonal